(1)
SmDy4Th3: relaxed, PBE.

The value obtained for the energy of formation from the pure elements is 0.047 eV per atom.

The structure belongs to space group P-1 (No. 2); the cell edges are 6.165, 6.200 and 7.949 Å and the angles 105.01°, 104.85° and 109.54°. The inequivalent atoms are Sm at (0.000, 0.000, 0.000), Dy at (0.124, 0.624, 0.248), Dy at (0.253, 0.253, 0.505), Th at (0.377, 0.877, 0.754) and Th at (0.500, 0.500, 0.000).

(2)
La4PmHo8: relaxed, PBE.

The value obtained for the energy of formation from the pure elements is 0.543 eV per atom.

The structure belongs to space group R-3m (No. 166, hexagonal axes); the cell edges are 11.0864, 11.0864 and 13.5237 Å and the angles 90.00°, 90.00° and 120.00°. The inequivalent atoms are La at (0.0000, 0.0000, 0.0000), La at (0.0000, 0.5000, 0.0000), Pm at (0.0000, 0.0000, 0.5000), Ho at (0.0000, 0.0000, 0.2390) and Ho at (0.0142, 0.5071, 0.7456).

(3)
MgCoAg2: relaxed, PBE.

The value obtained for the energy of formation from the pure elements is 0.204 eV per atom.

The structure belongs to space group F-43m (No. 216); the cell edges are 6.387, 6.387 and 6.387 Å and the angles 90.00°, 90.00° and 90.00°. The inequivalent atoms are Mg at (0.000, 0.000, 0.000), Co at (0.250, 0.250, 0.250), Ag at (0.000, 0.000, 0.500) and Ag at (0.250, 0.250, 0.750).

(4)
Sn2BOsS: relaxed, PBE.

The formation energy from raw total energies is 1.148 eV/atom. The offset from the most stable computed form is 370 meV/atom.

The structure belongs to space group P4/mmm (No. 123); the cell edges are 5.339, 5.339 and 4.275 Å and the angles 90.00°, 90.00° and 90.00°. The inequivalent atoms are Sn at (0.000, 0.500, 0.000), B at (0.000, 0.000, 0.500), Os at (0.500, 0.500, 0.000) and S at (0.500, 0.500, 0.500).

(5)
Hf2BeGa2: relaxed, PBE.

The offset from the most stable computed form is 139 meV/atom. The value obtained for the energy of formation from the pure elements is -0.304 eV per atom.

The structure belongs to space group P4/mbm (No. 127); the cell edges are 6.365, 6.365 and 4.184 Å and the angles 90.00°, 90.00° and 90.00°. The inequivalent atoms are Hf at (0.171, 0.329, 0.000), Be at (0.000, 0.000, 0.500) and Ga at (0.138, 0.638, 0.500).

(6)
OsCS2: relaxed, PBE.

The formation energy from raw total energies is 0.837 eV/atom.

The structure belongs to space group R-3m (No. 166, hexagonal axes); the cell edges are 3.5843, 3.5843 and 16.8678 Å and the angles 90.00°, 90.00° and 120.00°. The inequivalent atoms are Os at (0.0000, 0.0000, 0.0000), C at (0.0000, 0.0000, 0.5000) and S at (0.0000, 0.0000, 0.4050).

(7)
RbMoSeCl2: relaxed, PBE.

The formation energy from raw total energies is 0.801 eV/atom.

The structure belongs to space group P4/mmm (No. 123); the cell edges are 5.828, 5.828 and 6.112 Å and the angles 90.00°, 90.00° and 90.00°. The inequivalent atoms are Rb at (0.000, 0.000, 0.000), Mo at (0.500, 0.500, 0.500), Se at (0.000, 0.000, 0.500) and Cl at (0.000, 0.500, 0.000).

Number 1: density 9.70 g cm⁻³. Number 2: density 6.99 g cm⁻³. Number 3: density 7.62 g cm⁻³. Number 4: density 6.41 g cm⁻³. Number 5: density 9.90 g cm⁻³. Number 6: density 7.07 g cm⁻³. Number 7: density 2.65 g cm⁻³.